5
Lattice="-2.192 2.308 -3.158 -2.514 -3.605 -0.890 -2.997 1.335 3.057" Properties=species:S:1:pos:R:3 comment="NiIr3F | Alexandria via LeMat-Bulk | PBE+U | optimized geometry" volume_a3_per_atom=18.0 de_polymorph_mev_per_atom=178 energy_ev_per_atom=-4.23 pbc="T T T"
Ni 0.000 0.000 0.000
Ir -1.257 -1.802 -0.445
Ir -1.498 0.668 1.528
Ir -1.096 1.154 -1.579
F -3.852 0.019 -0.496